## 1
VASP calculation (PBE) on crystalline TlGa2Pb at its relaxed geometry.

abc: 5.010 5.010 4.050
angles: 90.00 90.00 90.00
Atoms (fractional coordinates):
Tl (0.000, 0.000, 0.000)
Ga (0.000, 0.500, 0.500)
Ga (0.500, 0.000, 0.500)
Pb (0.500, 0.500, 0.000)

## 2
VASP calculation (PBE) on crystalline TlGa2Pb at its relaxed geometry.

abc: 3.514 3.514 8.325
angles: 90.00 90.00 90.00
Atoms (fractional coordinates):
Tl (0.000, 0.000, 0.000)
Ga (0.500, 0.500, 0.254)
Ga (0.500, 0.500, 0.746)
Pb (0.000, 0.000, 0.500)

Result of the stability comparison: 2 is the least stable of them.

## 1
VASP calculation (PBE) on crystalline TlGa2Pb2 at its relaxed geometry.

abc: 9.310 9.310 9.310
angles: 155.36 155.36 35.12
Atoms (fractional coordinates):
Tl (0.000, 0.000, 0.000)
Ga (0.250, 0.750, 0.500)
Ga (0.750, 0.250, 0.500)
Pb (0.380, 0.380, 0.000)
Pb (0.620, 0.620, 0.000)

## 2
VASP calculation (PBE) on crystalline TlGa2Pb2 at its relaxed geometry.

abc: 8.765 8.765 3.544
angles: 90.00 90.00 90.00
Atoms (fractional coordinates):
Tl (0.000, 0.000, 0.000)
Tl (0.500, 0.500, 0.000)
Ga (0.118, 0.382, 0.000)
Ga (0.382, 0.882, 0.000)
Ga (0.618, 0.118, 0.000)
Ga (0.882, 0.618, 0.000)
Pb (0.176, 0.676, 0.500)
Pb (0.324, 0.176, 0.500)
Pb (0.676, 0.824, 0.500)
Pb (0.824, 0.324, 0.500)

Result of the stability comparison: 2 is the least stable of them.

## 1
VASP calculation (PBE) on crystalline TlGaPb2 at its relaxed geometry.

abc: 8.123 8.123 8.123
angles: 30.54 30.54 30.54
Atoms (fractional coordinates):
Tl (0.000, 0.000, 0.000)
Ga (0.500, 0.500, 0.500)
Pb (0.233, 0.233, 0.233)
Pb (0.767, 0.767, 0.767)

## 2
VASP calculation (PBE) on crystalline TlGaPb2 at its relaxed geometry.

abc: 8.149 8.149 8.149
angles: 130.91 130.91 71.95
Atoms (fractional coordinates):
Tl (0.000, 0.000, 0.000)
Tl (0.750, 0.250, 0.500)
Ga (0.250, 0.750, 0.500)
Ga (0.500, 0.500, 0.000)
Pb (0.162, 0.625, 0.037)
Pb (0.375, 0.412, 0.537)
Pb (0.588, 0.125, 0.963)
Pb (0.875, 0.838, 0.463)

Result of the stability comparison: 2 is the least stable of them.

## 1
VASP calculation (PBE) on crystalline TlGaPb2 at its relaxed geometry.

abc: 5.431 5.431 5.431
angles: 60.00 60.00 60.00
Atoms (fractional coordinates):
Tl (0.000, 0.000, 0.000)
Ga (0.500, 0.500, 0.500)
Pb (0.250, 0.250, 0.250)
Pb (0.750, 0.750, 0.750)

## 2
VASP calculation (PBE) on crystalline TlGaPb2 at its relaxed geometry.

abc: 3.528 3.528 9.315
angles: 90.00 90.00 90.00
Atoms (fractional coordinates):
Tl (0.000, 0.000, 0.000)
Ga (0.000, 0.000, 0.500)
Pb (0.500, 0.500, 0.283)
Pb (0.500, 0.500, 0.717)

Result of the stability comparison: 1 is the least stable of them.

## 1
VASP calculation (PBE) on crystalline TlGaPb2 at its relaxed geometry.

abc: 4.833 4.833 4.890
angles: 90.00 90.00 90.00
Atoms (fractional coordinates):
Tl (0.000, 0.000, 0.000)
Ga (0.500, 0.500, 0.000)
Pb (0.000, 0.500, 0.500)
Pb (0.500, 0.000, 0.500)

## 2
VASP calculation (PBE) on crystalline TlGaPb2 at its relaxed geometry.

abc: 7.155 7.155 7.155
angles: 37.92 37.92 37.92
Atoms (fractional coordinates):
Tl (0.000, 0.000, 0.000)
Ga (0.169, 0.169, 0.169)
Pb (0.566, 0.566, 0.566)
Pb (0.767, 0.767, 0.767)

Result of the stability comparison: 2 is the least stable of them.

## 1
VASP calculation (PBE) on crystalline TlGaPb4 at its relaxed geometry.

abc: 8.452 8.452 6.043
angles: 103.74 103.74 61.67
Atoms (fractional coordinates):
Tl (0.214, 0.214, 0.155)
Tl (0.786, 0.786, 0.845)
Ga (0.448, 0.448, 0.274)
Ga (0.552, 0.552, 0.726)
Pb (0.070, 0.681, 0.424)
Pb (0.203, 0.797, 0.000)
Pb (0.319, 0.930, 0.576)
Pb (0.342, 0.342, 0.758)
Pb (0.658, 0.658, 0.242)
Pb (0.681, 0.070, 0.424)
Pb (0.797, 0.203, 0.000)
Pb (0.930, 0.319, 0.576)

## 2
VASP calculation (PBE) on crystalline TlGaPb4 at its relaxed geometry.

abc: 6.530 6.530 6.530
angles: 60.00 60.00 60.00
Atoms (fractional coordinates):
Tl (0.000, 0.000, 0.000)
Ga (0.750, 0.750, 0.750)
Pb (0.375, 0.375, 0.375)
Pb (0.375, 0.375, 0.874)
Pb (0.375, 0.874, 0.375)
Pb (0.874, 0.375, 0.375)

## 3
VASP calculation (PBE) on crystalline TlGaPb4 at its relaxed geometry.

abc: 3.518 3.518 14.334
angles: 90.00 90.00 90.00
Atoms (fractional coordinates):
Tl (0.000, 0.000, 0.000)
Ga (0.500, 0.500, 0.500)
Pb (0.000, 0.000, 0.352)
Pb (0.000, 0.000, 0.648)
Pb (0.500, 0.500, 0.177)
Pb (0.500, 0.500, 0.823)

Result of the stability comparison: 2 is the least stable of them.

## 1
VASP calculation (PBE) on crystalline Tl2GaPb6 at its relaxed geometry.

abc: 8.765 8.765 9.022
angles: 116.61 116.61 83.95
Atoms (fractional coordinates):
Tl (0.037, 0.297, 0.418)
Tl (0.297, 0.037, 0.918)
Tl (0.703, 0.963, 0.082)
Tl (0.963, 0.703, 0.582)
Ga (0.379, 0.621, 0.750)
Ga (0.621, 0.379, 0.250)
Pb (0.068, 0.817, 0.027)
Pb (0.144, 0.403, 0.864)
Pb (0.183, 0.932, 0.473)
Pb (0.285, 0.513, 0.324)
Pb (0.403, 0.144, 0.364)
Pb (0.487, 0.715, 0.176)
Pb (0.513, 0.285, 0.824)
Pb (0.597, 0.856, 0.636)
Pb (0.715, 0.487, 0.676)
Pb (0.817, 0.068, 0.527)
Pb (0.856, 0.597, 0.136)
Pb (0.932, 0.183, 0.973)

## 2
VASP calculation (PBE) on crystalline Tl2GaPb6 at its relaxed geometry.

abc: 7.183 7.183 6.366
angles: 90.14 90.14 60.00
Atoms (fractional coordinates):
Tl (0.167, 0.167, 0.312)
Tl (0.833, 0.833, 0.688)
Ga (0.500, 0.500, 0.500)
Pb (0.152, 0.674, 0.197)
Pb (0.326, 0.326, 0.802)
Pb (0.326, 0.848, 0.803)
Pb (0.674, 0.152, 0.197)
Pb (0.674, 0.674, 0.198)
Pb (0.848, 0.326, 0.803)

Result of the stability comparison: 2 is the least stable of them.

## 1
VASP calculation (PBE) on crystalline Tm5GaPb2 at its relaxed geometry.

abc: 8.030 8.030 12.462
angles: 90.00 90.00 138.29
Atoms (fractional coordinates):
Tm (0.072, 0.928, 0.607)
Tm (0.072, 0.928, 0.893)
Tm (0.315, 0.685, 0.535)
Tm (0.315, 0.685, 0.965)
Tm (0.323, 0.677, 0.250)
Tm (0.677, 0.323, 0.750)
Tm (0.685, 0.315, 0.035)
Tm (0.685, 0.315, 0.465)
Tm (0.928, 0.072, 0.107)
Tm (0.928, 0.072, 0.393)
Ga (0.216, 0.784, 0.750)
Ga (0.784, 0.216, 0.250)
Pb (0.137, 0.863, 0.123)
Pb (0.137, 0.863, 0.377)
Pb (0.863, 0.137, 0.623)
Pb (0.863, 0.137, 0.877)

## 2
VASP calculation (PBE) on crystalline Tm5GaPb2 at its relaxed geometry.

abc: 7.850 12.055 4.662
angles: 90.00 90.00 90.00
Atoms (fractional coordinates):
Tm (0.000, 0.000, 0.000)
Tm (0.154, 0.283, 0.000)
Tm (0.188, 0.568, 0.500)
Tm (0.312, 0.068, 0.500)
Tm (0.346, 0.783, 0.000)
Tm (0.500, 0.500, 0.000)
Tm (0.654, 0.217, 0.000)
Tm (0.688, 0.932, 0.500)
Tm (0.812, 0.432, 0.500)
Tm (0.846, 0.717, 0.000)
Ga (0.000, 0.500, 0.000)
Ga (0.500, 0.000, 0.000)
Pb (0.074, 0.829, 0.500)
Pb (0.426, 0.329, 0.500)
Pb (0.574, 0.671, 0.500)
Pb (0.926, 0.171, 0.500)

Result of the stability comparison: 1 is the least stable of them.

## 1
VASP calculation (PBE) on crystalline Tm3GaPb2 at its relaxed geometry.

abc: 8.694 8.694 6.339
angles: 100.32 100.32 41.91
Atoms (fractional coordinates):
Tm (0.129, 0.871, 0.750)
Tm (0.229, 0.451, 0.410)
Tm (0.451, 0.229, 0.910)
Tm (0.549, 0.771, 0.090)
Tm (0.771, 0.549, 0.590)
Tm (0.871, 0.129, 0.250)
Ga (0.383, 0.617, 0.250)
Ga (0.617, 0.383, 0.750)
Pb (0.056, 0.276, 0.069)
Pb (0.276, 0.056, 0.569)
Pb (0.724, 0.944, 0.431)
Pb (0.944, 0.724, 0.931)

## 2
VASP calculation (PBE) on crystalline Tm3GaPb2 at its relaxed geometry.

abc: 12.417 4.389 11.817
angles: 90.00 90.00 90.00
Atoms (fractional coordinates):
Tm (0.060, 0.250, 0.117)
Tm (0.122, 0.750, 0.548)
Tm (0.246, 0.250, 0.779)
Tm (0.254, 0.750, 0.279)
Tm (0.378, 0.250, 0.048)
Tm (0.440, 0.750, 0.617)
Tm (0.560, 0.250, 0.383)
Tm (0.622, 0.750, 0.952)
Tm (0.746, 0.250, 0.721)
Tm (0.754, 0.750, 0.221)
Tm (0.878, 0.250, 0.452)
Tm (0.940, 0.750, 0.883)
Ga (0.118, 0.250, 0.369)
Ga (0.382, 0.750, 0.869)
Ga (0.618, 0.250, 0.131)
Ga (0.882, 0.750, 0.631)
Pb (0.013, 0.250, 0.706)
Pb (0.184, 0.750, 0.992)
Pb (0.316, 0.250, 0.492)
Pb (0.487, 0.750, 0.206)
Pb (0.513, 0.250, 0.794)
Pb (0.684, 0.750, 0.508)
Pb (0.816, 0.250, 0.008)
Pb (0.987, 0.750, 0.294)

Result of the stability comparison: 1 is the least stable of them.

## 1
VASP calculation (PBE) on crystalline YGa3Pb at its relaxed geometry.

abc: 5.456 5.456 5.456
angles: 90.00 90.00 90.00
Atoms (fractional coordinates):
Y (0.000, 0.000, 0.000)
Ga (0.000, 0.000, 0.500)
Ga (0.000, 0.500, 0.000)
Ga (0.500, 0.000, 0.000)
Pb (0.500, 0.500, 0.500)

## 2
VASP calculation (PBE) on crystalline YGa3Pb at its relaxed geometry.

abc: 5.348 5.348 5.348
angles: 90.00 90.00 90.00
Atoms (fractional coordinates):
Y (0.000, 0.000, 0.000)
Ga (0.000, 0.500, 0.500)
Ga (0.500, 0.000, 0.500)
Ga (0.500, 0.500, 0.000)
Pb (0.500, 0.500, 0.500)

Result of the stability comparison: 2 is the least stable of them.

## 1
VASP calculation (PBE) on crystalline YGaPb at its relaxed geometry.

abc: 8.287 8.287 4.249
angles: 90.00 90.00 148.10
Atoms (fractional coordinates):
Y (0.087, 0.913, 0.750)
Y (0.913, 0.087, 0.250)
Ga (0.449, 0.551, 0.750)
Ga (0.551, 0.449, 0.250)
Pb (0.266, 0.734, 0.250)
Pb (0.734, 0.266, 0.750)

## 2
VASP calculation (PBE) on crystalline YGaPb at its relaxed geometry.

abc: 6.210 6.210 6.210
angles: 145.54 145.54 49.53
Atoms (fractional coordinates):
Y (0.000, 0.000, 0.000)
Ga (0.657, 0.657, 0.000)
Pb (0.301, 0.301, 0.000)

Result of the stability comparison: 2 is the least stable of them.